This record from the Alexandria database describes an optimized crystal structure of RbHgI2Cl. The functional is GGA-PBE.

Values from the calculation:
* energy: -0.1519 Ry per atom
* density of states at the Fermi level: 0.207 states/eV per atom

abc: 6.0242 6.0242 5.4371
angles: 90.00 90.00 90.00
Space group P4/mmm (No. 123)
Asymmetric unit:
Rb 0.0000 0.0000 0.0000 (multiplicity 1)
Hg 0.5000 0.5000 0.5000 (multiplicity 1)
I 0.0000 0.5000 0.5000 (multiplicity 2)
Cl 0.5000 0.5000 0.0000 (multiplicity 1)